DFT (PBE) results for crystalline Th2Ge4IrPd3 at its relaxed geometry.

The value obtained for the density of states at the Fermi level is 6.6 states/eV/cell. The value obtained for the energy of formation from the pure elements is -0.785 eV per atom.

The space group is P-4m2 (No. 115) and the conventional cell measures 4.348, 4.348 and 10.121 Å, with angles of 90.00, 90.00 and 90.00 degrees. The asymmetric unit holds Th at (0.000, 0.500, 0.243), Ge at (0.000, 0.000, 0.500), Ge at (0.000, 0.500, 0.870), Ge at (0.500, 0.500, 0.500), Ir at (0.500, 0.500, 0.000), Pd at (0.000, 0.000, 0.000) and Pd at (0.000, 0.500, 0.627).

=====

DFT (PBE) results for crystalline InCu2Ag at its relaxed geometry.

The value obtained for the density of states at the Fermi level is 0.8 states/eV/cell. The value obtained for the energy of formation from the pure elements is 0.071 eV per atom.

The space group is Pm (No. 6) and the conventional cell measures 2.920, 4.304 and 5.335 Å, with angles of 90.00, 105.01 and 90.00 degrees. The asymmetric unit holds In at (0.000, 0.000, 0.000), Cu at (0.276, 0.000, 0.532), Cu at (0.394, 0.500, 0.787) and Ag at (0.679, 0.500, 0.333).

=====

| no. | M_tot (μB/f.u.) |
| --- | --- |
| 1 | 0.00 |
| 2 | 0.00 |